Entry 1:
DFT (SCAN) results for a crystal of LaHg2Br relaxed with PBEsol.

Cell and atoms, written as POSCAR:
```
LaHg2Br
1.0
1.8523 1.0694 9.3039
-1.8523 1.0694 9.3039
0.0000 -2.1389 9.3039
La Hg Br
1 2 1
direct
0.0000 0.0000 0.0000
0.2441 0.2441 0.2441
0.7559 0.7559 0.7559
0.5000 0.5000 0.5000
```

Crystal system = trigonal
Raw formation energy = -0.533 eV per atom

=====

Entry 2:
DFT (SCAN) results for a crystal of Ba2Ga2Bi relaxed with PBEsol.

Cell and atoms, written as POSCAR:
```
Ba2Ga2Bi
1.0
-2.7260 2.7260 5.8867
2.7260 -2.7260 5.8867
2.7260 2.7260 -5.8867
Ba Ga Bi
2 2 1
direct
0.2500 0.7500 0.5000
0.7500 0.2500 0.5000
0.0975 0.0975 0.0000
0.9025 0.9025 0.0000
0.5000 0.5000 0.0000
```

Crystal system = tetragonal
Formation energy from the elements = -16.1 kJ per mole of atoms

=====

Entry 3:
DFT (SCAN) results for a crystal of Ni2IrOs relaxed with PBEsol.

Cell and atoms, written as POSCAR:
```
Ni2IrOs
1.0
2.6544 0.0000 0.0000
0.0000 3.6671 0.0000
0.0000 0.0000 5.0710
Ni Ir Os
2 1 1
direct
0.0000 0.0000 0.0000
0.5000 0.5000 0.2305
0.5000 0.5000 0.7364
0.0000 0.0000 0.4854
```

Crystal system = orthorhombic
Formation energy from the elements = 3.6 kJ per mole of atoms

=====

Entry 4:
DFT (SCAN) results for a crystal of KCdIn relaxed with PBEsol.

Cell and atoms, written as POSCAR:
```
KCdIn
1.0
6.3497 -2.2194 0.0000
6.3497 2.2194 0.0000
-0.8730 0.0000 3.2207
K Cd In
1 1 1
direct
0.0000 0.0000 0.0000
0.2982 0.2982 0.2982
0.7012 0.7012 0.7012
```

Crystal system = monoclinic
Formation energy from the elements = -7.9 kJ per mole of atoms

=====

Entry 5:
DFT (SCAN) results for a crystal of NiAg2Ir relaxed with PBEsol.

Cell and atoms, written as POSCAR:
```
NiAg2Ir
1.0
-1.8823 1.8823 4.0691
1.8823 -1.8823 4.0691
1.8823 1.8823 -4.0691
Ni Ag Ir
1 2 1
direct
0.0000 0.0000 0.0000
0.2500 0.7500 0.5000
0.7500 0.2500 0.5000
0.5000 0.5000 0.0000
```

Crystal system = tetragonal
Formation energy from the elements = 50.9 kJ per mole of atoms

=====

Entry 6:
DFT (SCAN) results for a crystal of KSb2 relaxed with PBEsol.

Cell and atoms, written as POSCAR:
```
KSb2
1.0
-1.9884 1.9884 6.1630
1.9884 -1.9884 6.1630
1.9884 1.9884 -6.1630
K Sb
1 2
direct
0.0000 0.0000 0.0000
0.2950 0.2950 0.0000
0.7050 0.7050 0.0000
```

Crystal system = tetragonal
Raw formation energy = -0.344 eV per atom